1.
Density functional theory data (PBE-GGA) for an optimized crystal structure of Pr5Dy3Hg2.

Cell: 6.9582 10.6936 10.6936 Å, 66.67 71.01 71.01°
Last column: nearest neighbours and their distance in Å.
Sites, in units of the cell vectors:
Hg: 0.1527 0.8030 0.8915  3 Pr 3.04-3.10, 3 Dy 3.10-3.18
Pr: 0.7500 0.5000 0.5000  8 Pr 3.20-3.48
Dy: 0.7500 0.0000 0.0000  4 Hg 3.10
Pr: 0.2500 0.5000 0.5000  8 Pr 3.20-3.48
Pr: 0.4447 0.3053 0.3053  2 Hg 3.10, 1 Pr 3.20
Dy: 0.2500 0.0000 0.0000  4 Hg 3.10
Pr: 0.0607 0.6708 0.2078  1 Hg 3.04, 2 Pr 3.38
Pr: 0.0553 0.6947 0.6947  2 Hg 3.10, 1 Pr 3.20
Pr: 0.5553 0.6947 0.6947  2 Hg 3.10, 1 Pr 3.20
Dy: 0.8250 0.9509 0.3992  1 Hg 3.18
Dy: 0.3250 0.3992 0.9509  1 Hg 3.18
Pr: 0.9393 0.3292 0.7922  1 Hg 3.04, 2 Pr 3.38
Hg: 0.8473 0.1970 0.1085  3 Pr 3.04-3.10, 3 Dy 3.10-3.18
Pr: 0.5607 0.2078 0.6708  1 Hg 3.04, 2 Pr 3.38
Hg: 0.3473 0.1085 0.1970  3 Pr 3.04-3.10, 3 Dy 3.10-3.18
Hg: 0.6527 0.8915 0.8030  3 Pr 3.04-3.10, 3 Dy 3.10-3.18
Dy: 0.6750 0.6008 0.0491  1 Hg 3.18
Dy: 0.1750 0.0491 0.6008  1 Hg 3.18
Pr: 0.4393 0.7922 0.3292  1 Hg 3.04, 2 Pr 3.38
Pr: 0.9447 0.3053 0.3053  2 Hg 3.10, 1 Pr 3.20

Values from the calculation:
* symmetry: Ibam
* calculated volume: 673.0 Å³/cell
* electronic total energy: -75.52 eV/cell
* crystal system: orthorhombic
* magnetization: 0.0 μB/f.u.

---

2.
Density functional theory data (PBE-GGA) for an optimized crystal structure of PrDy2Hg.

Cell: 4.8451 4.8767 4.8767 Å, 90.00 90.00 90.00°
Last column: nearest neighbours and their distance in Å.
Sites, in units of the cell vectors:
Dy: 0.0000 0.5000 0.0000  4 Hg 3.44, 4 Pr 3.44, 4 Dy 3.45
Dy: 0.0000 0.0000 0.5000  4 Pr 3.44, 4 Hg 3.44, 4 Dy 3.45
Pr: 0.5000 0.5000 0.5000  8 Dy 3.44, 4 Hg 3.45
Hg: 0.5000 0.0000 0.0000  8 Dy 3.44, 4 Pr 3.45

Values from the calculation:
* symmetry: P4/mmm
* calculated volume: 115.2 Å³/cell
* electronic total energy: -14.90 eV/cell
* crystal system: tetragonal
* magnetization: 0.0 μB/f.u.
* energy relative to the lowest polymorph listed for this composition: 79 meV per atom

---

3.
Density functional theory data (PBE-GGA) for an optimized crystal structure of Pr3Dy4Hg.

Cell: 3.6397 3.6397 19.2045 Å, 90.00 90.00 90.00°
Last column: nearest neighbours and their distance in Å.
Sites, in units of the cell vectors:
Pr: 0.5000 0.5000 0.2341  8 Dy 3.62-3.63, 4 Pr 3.64
Dy: 0.0000 0.0000 0.6329  8 Pr 3.63, 4 Dy 3.64
Dy: 0.0000 0.0000 0.1017  4 Hg 3.23, 4 Pr 3.62
Dy: 0.0000 0.0000 0.8983  4 Hg 3.23, 4 Pr 3.62
Dy: 0.0000 0.0000 0.3671  8 Pr 3.63, 4 Dy 3.64
Hg: 0.5000 0.5000 0.0000  8 Dy 3.23
Pr: 0.5000 0.5000 0.5000  8 Dy 3.63, 4 Pr 3.64
Pr: 0.5000 0.5000 0.7659  8 Dy 3.62-3.63, 4 Pr 3.64

Values from the calculation:
* symmetry: P4/mmm
* calculated volume: 254.4 Å³/cell
* electronic total energy: -33.93 eV/cell
* crystal system: tetragonal
* magnetization: 0.0 μB/f.u.

---

4.
Density functional theory data (PBE-GGA) for an optimized crystal structure of Pr8DyHg2.

Cell: 5.8033 8.9301 8.9301 Å, 119.03 100.54 100.54°
Last column: nearest neighbours and their distance in Å.
Sites, in units of the cell vectors:
Pr: 0.8990 0.9100 0.6853  2 Hg 3.21-3.44, 2 Pr 3.42-3.46
Hg: 0.0000 0.6937 0.3063  8 Pr 3.16-3.44
Hg: 0.0000 0.3063 0.6937  8 Pr 3.16-3.44
Pr: 0.3012 0.6007 0.6007  2 Pr 3.31-3.42, 1 Dy 3.38, 2 Hg 3.41
Pr: 0.1010 0.3147 0.0900  2 Hg 3.21-3.44, 2 Pr 3.42-3.46
Dy: 0.5000 0.0000 0.0000  8 Pr 3.38-3.73
Pr: 0.1010 0.0900 0.3147  2 Hg 3.21-3.44, 2 Pr 3.42-3.46
Pr: 0.8990 0.6853 0.9100  2 Hg 3.21-3.44, 2 Pr 3.42-3.46
Pr: 0.5000 0.2254 0.7746  2 Hg 3.16, 1 Dy 3.47
Pr: 0.6988 0.3993 0.3993  2 Pr 3.31-3.42, 1 Dy 3.38, 2 Hg 3.41
Pr: 0.5000 0.7746 0.2254  2 Hg 3.16, 1 Dy 3.47

Values from the calculation:
* symmetry: C2/m
* calculated volume: 377.4 Å³/cell
* electronic total energy: -44.18 eV/cell
* crystal system: monoclinic
* magnetization: 0.0 μB/f.u.

---

5.
Density functional theory data (PBE-GGA) for an optimized crystal structure of Pr3DyHg5.

Cell: 6.7071 9.3392 9.3392 Å, 120.00 90.00 90.00°
Last column: nearest neighbours and their distance in Å.
Sites, in units of the cell vectors:
Pr: 0.7500 0.3726 0.3726  9 Hg 3.13-3.44
Pr: 0.7500 0.0000 0.6274  9 Hg 3.13-3.44
Hg: 0.5000 0.3333 0.6667  8 Hg 3.35-3.72, 6 Pr 3.39
Pr: 0.7500 0.6274 0.0000  9 Hg 3.13-3.44
Hg: 0.7500 0.7078 0.7078  5 Pr 3.13-3.44, 2 Dy 3.20
Hg: 0.7500 0.0000 0.2922  5 Pr 3.13-3.44, 2 Dy 3.20
Hg: 0.0000 0.6667 0.3333  8 Hg 3.35-3.72, 6 Pr 3.39
Dy: 0.5000 0.0000 0.0000  6 Hg 3.20, 2 Dy 3.35
Hg: 0.2500 0.2922 0.2922  5 Pr 3.13-3.44, 2 Dy 3.20
Hg: 0.0000 0.3333 0.6667  8 Hg 3.35-3.72, 6 Pr 3.39
Hg: 0.2500 0.7078 0.0000  5 Pr 3.13-3.44, 2 Dy 3.20
Pr: 0.2500 0.0000 0.3726  9 Hg 3.13-3.44
Dy: 0.0000 0.0000 0.0000  6 Hg 3.20, 2 Dy 3.35
Hg: 0.5000 0.6667 0.3333  8 Hg 3.35-3.72, 6 Pr 3.39
Hg: 0.2500 0.0000 0.7078  5 Pr 3.13-3.44, 2 Dy 3.20
Pr: 0.2500 0.6274 0.6274  9 Hg 3.13-3.44
Pr: 0.2500 0.3726 0.0000  9 Hg 3.13-3.44
Hg: 0.7500 0.2922 0.0000  5 Pr 3.13-3.44, 2 Dy 3.20

Values from the calculation:
* symmetry: P6_3/mcm
* calculated volume: 506.6 Å³/cell
* electronic total energy: -48.67 eV/cell
* crystal system: hexagonal
* magnetization: 0.0 μB/f.u.

---

6.
Density functional theory data (PBE-GGA) for an optimized crystal structure of Pr2DyHg6.

Cell: 3.4884 8.7327 8.7327 Å, 120.00 90.00 90.00°
Last column: nearest neighbours and their distance in Å.
Sites, in units of the cell vectors:
Hg: 0.5000 0.6697 0.6697  3 Hg 2.88-2.96
Dy: 0.0000 0.0000 0.0000  12 Hg 3.37, 2 Dy 3.49
Hg: 0.5000 0.3303 0.0000  3 Hg 2.88-2.96
Hg: 0.5000 0.3303 0.3303  3 Hg 2.88-2.96
Hg: 0.5000 0.0000 0.6697  3 Hg 2.88-2.96
Hg: 0.5000 0.6697 0.0000  3 Hg 2.88-2.96
Pr: 0.0000 0.3333 0.6667  12 Hg 3.40, 2 Pr 3.49
Hg: 0.5000 0.0000 0.3303  3 Hg 2.88-2.96
Pr: 0.0000 0.6667 0.3333  12 Hg 3.40, 2 Pr 3.49

Values from the calculation:
* symmetry: P6/mmm
* calculated volume: 230.4 Å³/cell
* electronic total energy: -19.71 eV/cell
* crystal system: hexagonal
* magnetization: 0.4 μB/f.u.

---

7.
Density functional theory data (PBE-GGA) for an optimized crystal structure of Pr5DyHg3.

Cell: 7.0641 9.4366 9.4367 Å, 120.00 90.00 90.00°
Last column: nearest neighbours and their distance in Å.
Sites, in units of the cell vectors:
Hg: 0.7500 0.3251 0.3251  3 Pr 3.12-3.20
Pr: 0.2500 0.0000 0.6637  3 Hg 3.12-3.20
Dy: 0.0000 0.0000 0.0000  2 Dy 3.53, 6 Hg 3.54, 6 Pr 3.63
Pr: 0.0000 0.6666 0.3332  8 Pr 3.53-3.60, 6 Hg 3.64
Dy: 0.5000 0.0000 0.0000  2 Dy 3.53, 6 Hg 3.54, 6 Pr 3.63
Hg: 0.2500 0.6749 0.6749  3 Pr 3.12-3.20
Pr: 0.2500 0.3362 0.3363  3 Hg 3.12-3.20
Pr: 0.2500 0.6638 0.0000  3 Hg 3.12-3.20
Pr: 0.7500 0.6638 0.6637  3 Hg 3.12-3.20
Hg: 0.7500 0.6748 0.0000  3 Pr 3.12-3.20
Hg: 0.2500 0.0000 0.3251  3 Pr 3.12-3.20
Pr: 0.7500 0.0000 0.3363  3 Hg 3.12-3.20
Hg: 0.7500 0.0000 0.6749  3 Pr 3.12-3.20
Hg: 0.2500 0.3252 0.0000  3 Pr 3.12-3.20
Pr: 0.0000 0.3334 0.6668  8 Pr 3.53-3.60, 6 Hg 3.64
Pr: 0.5000 0.3334 0.6668  8 Pr 3.53-3.60, 6 Hg 3.64
Pr: 0.7500 0.3362 0.0000  3 Hg 3.12-3.20
Pr: 0.5000 0.6666 0.3332  8 Pr 3.53-3.60, 6 Hg 3.64

Values from the calculation:
* symmetry: P6_3/mcm
* calculated volume: 544.8 Å³/cell
* electronic total energy: -63.87 eV/cell
* crystal system: hexagonal
* magnetization: 0.0 μB/f.u.

---

8.
Density functional theory data (PBE-GGA) for an optimized crystal structure of Pr5DyHg6.

Cell: 5.4140 7.7119 8.5863 Å, 90.00 71.62 90.00°
Last column: nearest neighbours and their distance in Å.
Sites, in units of the cell vectors:
Hg: 0.8380 0.7556 0.3241  1 Dy 3.24, 7 Pr 3.30-3.39
Dy: 0.0000 0.0000 0.0000  8 Hg 3.24-3.28
Hg: 0.1620 0.7556 0.6759  1 Dy 3.24, 7 Pr 3.30-3.39
Hg: 0.8380 0.2444 0.3241  1 Dy 3.24, 7 Pr 3.30-3.39
Pr: 0.0000 0.5000 0.0000  8 Hg 3.30-3.37
Pr: 0.3311 0.5000 0.3379  8 Hg 3.35-3.40
Hg: 0.5000 0.7595 0.0000  2 Dy 3.28, 6 Pr 3.29-3.40
Pr: 0.3333 0.0000 0.3334  8 Hg 3.29-3.37
Pr: 0.6689 0.5000 0.6621  8 Hg 3.35-3.40
Pr: 0.6667 0.0000 0.6666  8 Hg 3.29-3.37
Hg: 0.1620 0.2444 0.6759  1 Dy 3.24, 7 Pr 3.30-3.39
Hg: 0.5000 0.2405 0.0000  2 Dy 3.28, 6 Pr 3.29-3.40

Values from the calculation:
* symmetry: Cmmm
* calculated volume: 340.2 Å³/cell
* electronic total energy: -35.95 eV/cell
* crystal system: orthorhombic
* magnetization: 2.6 μB/f.u.

---

9.
Density functional theory data (PBE-GGA) for an optimized crystal structure of PrDy7Hg2.

Cell: 5.4080 8.8023 8.8023 Å, 117.59 90.00 90.00°
Last column: nearest neighbours and their distance in Å.
Sites, in units of the cell vectors:
Dy: 0.5000 0.3059 0.0599  2 Hg 3.09-3.21, 2 Dy 3.34-3.43
Pr: 0.0000 0.0000 0.0000  10 Dy 3.65-3.68
Dy: 0.5000 0.9401 0.6941  2 Hg 3.09-3.21, 2 Dy 3.34-3.43
Dy: 0.5000 0.0599 0.3059  2 Hg 3.09-3.21, 2 Dy 3.34-3.43
Hg: 0.5000 0.3049 0.6951  5 Dy 2.86-3.09
Hg: 0.5000 0.6951 0.3049  5 Dy 2.86-3.09
Dy: 0.5000 0.5000 0.5000  2 Hg 2.94
Dy: 0.0000 0.2424 0.7576  2 Hg 2.86
Dy: 0.0000 0.7576 0.2424  2 Hg 2.86
Dy: 0.5000 0.6941 0.9401  2 Hg 3.09-3.21, 2 Dy 3.34-3.43

Values from the calculation:
* symmetry: Cmmm
* calculated volume: 371.4 Å³/cell
* electronic total energy: -34.82 eV/cell
* crystal system: orthorhombic
* magnetization: 2.1 μB/f.u.

---

10.
Density functional theory data (PBE-GGA) for an optimized crystal structure of PrDyHg.

Cell: 5.1228 9.3635 7.4693 Å, 90.00 90.00 90.00°
Last column: nearest neighbours and their distance in Å.
Sites, in units of the cell vectors:
Dy: 0.2500 0.4260 0.3391  4 Hg 3.06-3.13
Pr: 0.7500 0.1877 0.5150  5 Hg 3.27-3.65, 3 Dy 3.61-3.64
Hg: 0.7500 0.8947 0.7536  4 Dy 3.06-3.13, 3 Pr 3.27-3.34
Dy: 0.7500 0.5740 0.6609  4 Hg 3.06-3.13
Hg: 0.7500 0.6053 0.2536  4 Dy 3.06-3.13, 3 Pr 3.27-3.34
Hg: 0.2500 0.3947 0.7464  4 Dy 3.06-3.13, 3 Pr 3.27-3.34
Pr: 0.2500 0.8123 0.4850  5 Hg 3.27-3.65, 3 Dy 3.61-3.64
Pr: 0.7500 0.3123 0.0150  5 Hg 3.27-3.65, 3 Dy 3.61-3.64
Pr: 0.2500 0.6877 0.9850  5 Hg 3.27-3.65, 3 Dy 3.61-3.64
Dy: 0.7500 0.9260 0.1609  4 Hg 3.06-3.13
Hg: 0.2500 0.1053 0.2464  4 Dy 3.06-3.13, 3 Pr 3.27-3.34
Dy: 0.2500 0.0740 0.8391  4 Hg 3.06-3.13

Values from the calculation:
* symmetry: Pnma
* calculated volume: 358.3 Å³/cell
* electronic total energy: -42.73 eV/cell
* crystal system: orthorhombic
* magnetization: 0.0 μB/f.u.
* energy relative to the lowest polymorph listed for this composition: 0 meV per atom

---

no.,DFT formation energy (eV/atom)
1,0.0549
2,-0.1545
3,-0.1097
4,-0.0668
5,-0.4316
6,-0.4158
7,-0.2811
8,-0.4697
9,0.2782
10,-0.3334